Here is a relaxed structure of ZrInB3 from Alexandria via LeMat-Bulk. Energies are from PBE.

Cell: 4.319 4.319 4.319 Å, 90.00 90.00 90.00°
Fractional positions:
Zr  0.000  0.000  0.000
In  0.500  0.500  0.500
B  0.000  0.500  0.500
B  0.500  0.000  0.500
B  0.500  0.500  0.000

## Properties
ΔE_f = 1.873 eV per atom
total energy = -4.39 eV/atom
volume = 16.1 A^3/atom
SG = Pm-3m (221)
density = 4.92 Mg/m³